DFT (GGA-PBE) results for crystalline Fe6NiPt at its relaxed geometry.

As for the space-group type: Cmmm, No. 65. As for the crystal system: orthorhombic. The value obtained for the formation energy is -23 meV per atom.

Unit cell a=4.0237 b=5.0801 c=5.0801 alpha=106.21 beta=90.00 gamma=90.00
Sites, in units of the cell vectors:
Fe1 0.5000 0.0000 0.5000
Fe2 0.5000 0.5000 0.0000
Fe3 0.0000 0.2641 0.2641
Fe4 0.0000 0.7359 0.7359
Fe5 0.0000 0.7501 0.2499
Fe6 0.0000 0.2499 0.7501
Ni1 0.5000 0.5000 0.5000
Pt1 0.5000 0.0000 0.0000



DFT (GGA-PBE) results for crystalline Cs2HgAs2S6 at its relaxed geometry.

As for the space-group type: C2/m, No. 12. For the uncorrected formation energy, the calculation gives -0.42 eV/atom. As for the crystal system: monoclinic.

Unit cell a=7.0679 b=7.7258 c=7.6691 alpha=105.48 beta=90.00 gamma=117.22
Sites, in units of the cell vectors:
Cs1 0.7064 0.4129 0.1990
Cs2 0.2936 0.5871 0.8010
Hg1 0.5000 0.0000 0.5000
As1 0.9771 0.9543 0.8170
As2 0.0229 0.0457 0.1830
S1 0.8159 0.6319 0.7023
S2 0.2024 0.8848 0.2197
S3 0.3176 0.1152 0.7803
S4 0.7976 0.1152 0.7803
S5 0.6824 0.8848 0.2197
S6 0.1841 0.3681 0.2977